# PBE PaBe2Pt2Rh, relaxed
data_PaBe2Pt2Rh
_chemical_formula_sum 'Pa2 Be4 Pt4 Rh2'
_cell_length_a 3.923
_cell_length_b 3.923
_cell_length_c 13.031
_cell_angle_alpha 90.00
_cell_angle_beta 90.00
_cell_angle_gamma 90.00
_space_group_name_H-M_alt 'I 4/m m m'
_space_group_IT_number 139
_space_group_name_Hall '-I 4 2'
loop_
_atom_site_label
_atom_site_fract_x
_atom_site_fract_y
_atom_site_fract_z
_atom_site_occupancy
Pa1 0.000 0.000 0.000 1
Be1 0.000 0.000 0.332 1
Pt1 0.000 0.500 0.250 1
Rh1 0.000 0.000 0.500 1
# ΔH_f (0 K) = -0.5153 eV per atom
# density of states at the Fermi level = 4.7 states/eV/f.u.